Below is a relaxed Cd2IrSe crystal, with properties calculated at the GGA-PBE level.

The structure in POSCAR format:
```
Cd2IrSe
1.0
4.367 0.000 0.000
0.000 4.370 0.000
0.000 0.000 3.969
Cd Ir Se
2 1 1
Direct
0.000 0.000 0.000
0.500 0.500 0.000
0.500 0.000 0.500
0.000 0.500 0.500
```

Values from the calculation:
Formation energy from raw total energies = 0.23 eV/atom

=====

Below is a relaxed NdZn crystal, with properties calculated at the GGA-PBE level.

The structure in POSCAR format:
```
NdZn
1.0
-2.126 -1.547 -2.586
-1.365 -2.327 2.515
-2.686 2.407 0.769
Zn Nd
1 1
Direct
0.000 0.000 0.000
0.500 0.500 0.500
```

Values from the calculation:
ΔH_f (0 K) = -0.60 eV per formula unit

=====

Below is a relaxed KMg4Cd8 crystal, with properties calculated at the GGA-PBE level.

The structure in POSCAR format:
```
KMg4Cd8
1.0
-4.972 2.749 2.239
-6.121 -0.377 -4.804
-4.510 -4.781 4.182
K Mg Cd
1 4 8
Direct
0.000 0.000 0.000
0.000 0.000 0.500
0.500 0.000 0.500
0.000 0.500 0.000
0.500 0.500 0.000
0.000 0.349 0.651
0.000 0.651 0.349
0.349 0.651 0.651
0.651 0.349 0.349
0.500 0.780 0.220
0.500 0.220 0.780
0.280 0.220 0.220
0.720 0.780 0.780
```

Values from the calculation:
ΔH_f (0 K) = -0.97 eV per formula unit

=====

Below is a relaxed La2Pr4In3 crystal, with properties calculated at the GGA-PBE level.

The structure in POSCAR format:
```
La2Pr4In3
1.0
-3.058 1.609 -4.875
-9.159 -0.585 3.859
-2.356 9.248 2.837
La Pr In
4 8 6
Direct
0.649 0.855 0.599
0.851 0.401 0.145
0.351 0.145 0.401
0.149 0.599 0.855
0.521 0.068 0.817
0.979 0.183 0.932
0.479 0.932 0.183
0.021 0.817 0.068
0.182 0.730 0.488
0.318 0.512 0.270
0.818 0.270 0.512
0.682 0.488 0.730
0.083 0.961 0.712
0.417 0.288 0.039
0.917 0.039 0.288
0.583 0.712 0.961
0.250 0.373 0.627
0.750 0.627 0.373
```

Values from the calculation:
ΔH_f (0 K) = -2.78 eV per formula unit

=====

Below is a relaxed KNi2Ag crystal, with properties calculated at the GGA-PBE level.

The structure in POSCAR format:
```
KNi2Ag
1.0
5.247 -0.011 0.000
-2.014 4.845 0.000
0.000 0.000 2.717
Ag K Ni
1 1 2
Direct
0.500 0.000 0.500
0.000 0.500 0.500
0.000 0.000 0.000
0.500 0.500 0.000
```

Values from the calculation:
ΔH_f (0 K) = 3.14 eV per formula unit

=====

Below is a relaxed Mg2ScW crystal, with properties calculated at the GGA-PBE level.

The structure in POSCAR format:
```
Mg2ScW
1.0
5.966 0.000 0.000
3.153 5.064 0.000
-3.959 -3.614 2.619
Mg Sc W
2 1 1
Direct
0.018 0.018 0.000
0.482 0.482 0.000
0.750 0.250 0.500
0.250 0.750 0.500
```

Values from the calculation:
ΔH_f (0 K) = 1.39 eV per formula unit

=====

Below is a relaxed Co2P crystal, with properties calculated at the GGA-PBE level.

The structure in POSCAR format:
```
Co2P
1.0
-1.337 1.337 9.369
1.337 -1.337 9.369
1.337 1.337 -9.369
Co P
4 2
Direct
0.567 0.567 0.000
0.183 0.683 0.500
0.433 0.433 0.000
0.317 0.817 0.500
0.000 0.000 0.000
0.750 0.250 0.500
```

Values from the calculation:
ΔH_f (0 K) = -0.30 eV per formula unit

=====

Below is a relaxed Ca2Ga2Pd5Au crystal, with properties calculated at the GGA-PBE level.

The structure in POSCAR format:
```
Ca2Ga2Pd5Au
1.0
-2.421 0.272 2.880
0.675 -9.652 1.479
7.475 1.465 6.147
Ca Ga Pd Au
4 4 10 2
Direct
0.000 0.677 0.177
0.000 0.323 0.823
0.000 0.177 0.323
0.000 0.823 0.677
0.000 0.121 0.621
0.000 0.879 0.379
0.000 0.621 0.879
0.000 0.379 0.121
0.500 0.208 0.067
0.500 0.792 0.933
0.500 0.067 0.792
0.500 0.708 0.433
0.500 0.933 0.208
0.500 0.292 0.567
0.500 0.567 0.708
0.500 0.433 0.292
0.500 0.500 0.000
0.500 0.000 0.500
0.000 0.000 0.000
0.000 0.500 0.500
```

Values from the calculation:
ΔH_f (0 K) = -6.64 eV per formula unit

=====

Below is a relaxed InOsW crystal, with properties calculated at the GGA-PBE level.

The structure in POSCAR format:
```
InOsW
1.0
-0.433 -2.028 5.817
3.064 -3.558 4.011
-0.233 4.478 -4.246
In Os W
1 1 1
Direct
0.003 0.003 0.000
0.682 0.682 0.000
0.315 0.315 0.000
```

Values from the calculation:
ΔH_f (0 K) = 0.85 eV per formula unit

=====

Below is a relaxed Al2ZnO crystal, with properties calculated at the GGA-PBE level.

The structure in POSCAR format:
```
Al2ZnO
1.0
-3.639 2.705 -2.739
-3.770 -1.744 3.287
-3.032 4.125 2.979
Zn Al O
2 4 2
Direct
0.000 0.000 0.000
0.750 0.250 0.500
0.538 0.125 0.250
0.212 0.625 0.250
0.375 0.462 0.750
0.875 0.788 0.750
0.500 0.500 0.000
0.250 0.750 0.500
```

Values from the calculation:
Formation energy from raw total energies = -0.70 eV/atom

=====

Below is a relaxed MnIr2Pd crystal, with properties calculated at the GGA-PBE level.

The structure in POSCAR format:
```
MnIr2Pd
1.0
0.000 3.071 3.071
3.071 0.000 3.071
3.071 3.071 0.000
Mn Ir Pd
1 2 1
Direct
0.000 0.000 0.000
0.250 0.250 0.250
0.750 0.750 0.750
0.500 0.500 0.500
```

Values from the calculation:
ΔH_f (0 K) = 0.77 eV per formula unit

=====

Below is a relaxed Cs2PaBO6 crystal, with properties calculated at the GGA-PBE level.

The structure in POSCAR format:
```
Cs2PaBO6
1.0
-0.253 2.988 -4.245
2.186 -5.035 -3.675
-6.484 0.816 0.962
Cs Pa B O
2 1 1 6
Direct
0.154 0.333 0.667
0.846 0.667 0.333
0.500 0.000 0.000
0.000 0.000 0.000
0.798 0.122 0.243
0.798 0.122 0.878
0.798 0.757 0.878
0.202 0.878 0.122
0.202 0.243 0.122
0.202 0.878 0.757
```

Values from the calculation:
Formation energy from raw total energies = -1.81 eV/atom

=====

Volume readings, ordered: 75.74 50.16 313.65 280.53 69.01 79.12 33.49 180.69 51.74 64.37 57.94 196.41 Å³/f.u.
Total magnetic moment readings, ordered: 0.00 0.00 0.00 0.00 0.62 0.00 0.26 0.00 0.00 0.00 2.71 0.00 μB per formula unit